No. 1
PmZn3: relaxed, GGA-PBE.

Its crystal system is orthorhombic.

Geometry as CIF:
```
data_PmZn3
_symmetry_space_group_name_H-M 'P n m a'
_symmetry_Int_Tables_number 62
_symmetry_space_group_name_Hall '-P 2ac 2n'
_cell_length_a 6.764
_cell_length_b 4.501
_cell_length_c 10.235
_cell_angle_alpha 90.00
_cell_angle_beta 90.00
_cell_angle_gamma 90.00
loop_
_atom_site_label
_atom_site_type_symbol
_atom_site_fract_x
_atom_site_fract_y
_atom_site_fract_z
Pm1 Pm 0.219 0.250 0.157
Zn1 Zn 0.034 0.750 0.392
Zn2 Zn 0.087 0.250 0.853
Zn3 Zn 0.222 0.750 0.954
```

***

No. 2
PmZn12: relaxed, GGA-PBE.

Its crystal system is tetragonal.

Geometry as CIF:
```
data_PmZn12
_symmetry_space_group_name_H-M 'I 4/m m m'
_symmetry_Int_Tables_number 139
_symmetry_space_group_name_Hall '-I 4 2'
_cell_length_a 8.862
_cell_length_b 8.862
_cell_length_c 5.309
_cell_angle_alpha 90.00
_cell_angle_beta 90.00
_cell_angle_gamma 90.00
loop_
_atom_site_label
_atom_site_type_symbol
_atom_site_fract_x
_atom_site_fract_y
_atom_site_fract_z
Pm1 Pm 0.000 0.000 0.000
Zn1 Zn 0.000 0.219 0.500
Zn2 Zn 0.000 0.354 0.000
Zn3 Zn 0.250 0.250 0.250
```

***

No. 3
PmZn3: relaxed, GGA-PBE.

Its crystal system is orthorhombic.

Geometry as CIF:
```
data_PmZn3
_symmetry_space_group_name_H-M 'P m m m'
_symmetry_Int_Tables_number 47
_symmetry_space_group_name_Hall '-P 2 2'
_cell_length_a 4.321
_cell_length_b 4.362
_cell_length_c 4.390
_cell_angle_alpha 90.00
_cell_angle_beta 90.00
_cell_angle_gamma 90.00
loop_
_atom_site_label
_atom_site_type_symbol
_atom_site_fract_x
_atom_site_fract_y
_atom_site_fract_z
Pm1 Pm 0.000 0.000 0.000
Zn1 Zn 0.000 0.500 0.500
Zn2 Zn 0.500 0.000 0.500
Zn3 Zn 0.500 0.500 0.000
```

***

No. 4
Pm6Zn5: relaxed, GGA-PBE.

Its crystal system is orthorhombic.

Geometry as CIF:
```
data_Pm6Zn5
_symmetry_space_group_name_H-M 'I m m m'
_symmetry_Int_Tables_number 71
_symmetry_space_group_name_Hall '-I 2 2'
_cell_length_a 5.125
_cell_length_b 7.317
_cell_length_c 15.343
_cell_angle_alpha 90.00
_cell_angle_beta 90.00
_cell_angle_gamma 90.00
loop_
_atom_site_label
_atom_site_type_symbol
_atom_site_fract_x
_atom_site_fract_y
_atom_site_fract_z
Pm1 Pm 0.000 0.248 0.164
Pm2 Pm 0.000 0.251 0.500
Zn1 Zn 0.000 0.000 0.332
Zn2 Zn 0.000 0.500 0.000
Zn3 Zn 0.000 0.500 0.327
```

***

No. 5
PmZn: relaxed, GGA-PBE.

Its crystal system is orthorhombic.

Geometry as CIF:
```
data_PmZn
_symmetry_space_group_name_H-M 'C m c m'
_symmetry_Int_Tables_number 63
_symmetry_space_group_name_Hall '-C 2c 2'
_cell_length_a 3.629
_cell_length_b 11.999
_cell_length_c 4.552
_cell_angle_alpha 90.00
_cell_angle_beta 90.00
_cell_angle_gamma 90.00
loop_
_atom_site_label
_atom_site_type_symbol
_atom_site_fract_x
_atom_site_fract_y
_atom_site_fract_z
Pm1 Pm 0.000 0.152 0.250
Zn1 Zn 0.000 0.436 0.250
```

***

No. 6
Pm3Zn: relaxed, GGA-PBE.

The relative energy among the computed polymorphs is 2.56 kcal/mol of atoms. Its crystal system is hexagonal.

Geometry as CIF:
```
data_Pm3Zn
_symmetry_space_group_name_H-M 'P 63/m m c'
_symmetry_Int_Tables_number 194
_symmetry_space_group_name_Hall '-P 6c 2c'
_cell_length_a 7.0481
_cell_length_b 7.0481
_cell_length_c 5.3105
_cell_angle_alpha 90.00
_cell_angle_beta 90.00
_cell_angle_gamma 120.00
loop_
_atom_site_label
_atom_site_type_symbol
_atom_site_fract_x
_atom_site_fract_y
_atom_site_fract_z
Pm1 Pm 0.1770 0.3541 0.2500
Zn1 Zn 0.3333 0.6667 0.7500
```

***

No. 7
Pm3Zn: relaxed, GGA-PBE.

The relative energy among the computed polymorphs is 4.93 kcal/mol of atoms. Its crystal system is cubic.

Geometry as CIF:
```
data_Pm3Zn
_symmetry_space_group_name_H-M 'F m -3 m'
_symmetry_Int_Tables_number 225
_symmetry_space_group_name_Hall '-F 4 2 3'
_cell_length_a 7.723
_cell_length_b 7.723
_cell_length_c 7.723
_cell_angle_alpha 90.00
_cell_angle_beta 90.00
_cell_angle_gamma 90.00
loop_
_atom_site_label
_atom_site_type_symbol
_atom_site_fract_x
_atom_site_fract_y
_atom_site_fract_z
Pm1 Pm 0.000 0.000 0.000
Pm2 Pm 0.250 0.250 0.250
Zn1 Zn 0.000 0.000 0.500
```

***

No. 8
Pm2Zn17: relaxed, GGA-PBE.

Its crystal system is trigonal.

Geometry as CIF:
```
data_Pm2Zn17
_symmetry_space_group_name_H-M 'R -3 m'
_symmetry_Int_Tables_number 166
_symmetry_space_group_name_Hall '-R 3 2"'
_cell_length_a 9.0294
_cell_length_b 9.0294
_cell_length_c 13.2357
_cell_angle_alpha 90.00
_cell_angle_beta 90.00
_cell_angle_gamma 120.00
loop_
_atom_site_label
_atom_site_type_symbol
_atom_site_fract_x
_atom_site_fract_y
_atom_site_fract_z
Pm1 Pm 0.0000 0.0000 0.1648
Zn1 Zn 0.0000 0.0000 0.4012
Zn2 Zn 0.0000 0.2942 0.5000
Zn3 Zn 0.0000 0.5000 0.0000
Zn4 Zn 0.0088 0.5044 0.6532
```

***

No. 9
Pm3Zn: relaxed, GGA-PBE.

The relative energy among the computed polymorphs is 2.73 kcal/mol of atoms. Its crystal system is tetragonal.

Geometry as CIF:
```
data_Pm3Zn
_symmetry_space_group_name_H-M 'I 4/m m m'
_symmetry_Int_Tables_number 139
_symmetry_space_group_name_Hall '-I 4 2'
_cell_length_a 4.773
_cell_length_b 4.773
_cell_length_c 9.948
_cell_angle_alpha 90.00
_cell_angle_beta 90.00
_cell_angle_gamma 90.00
loop_
_atom_site_label
_atom_site_type_symbol
_atom_site_fract_x
_atom_site_fract_y
_atom_site_fract_z
Pm1 Pm 0.000 0.000 0.000
Pm2 Pm 0.000 0.500 0.250
Zn1 Zn 0.000 0.000 0.500
```

***

No. 10
Pm3Zn8: relaxed, GGA-PBE.

Its crystal system is orthorhombic.

Geometry as CIF:
```
data_Pm3Zn8
_symmetry_space_group_name_H-M 'I m m m'
_symmetry_Int_Tables_number 71
_symmetry_space_group_name_Hall '-I 2 2'
_cell_length_a 3.937
_cell_length_b 4.389
_cell_length_c 26.347
_cell_angle_alpha 90.00
_cell_angle_beta 90.00
_cell_angle_gamma 90.00
loop_
_atom_site_label
_atom_site_type_symbol
_atom_site_fract_x
_atom_site_fract_y
_atom_site_fract_z
Pm1 Pm 0.000 0.000 0.000
Pm2 Pm 0.000 0.500 0.149
Zn1 Zn 0.000 0.000 0.253
Zn2 Zn 0.000 0.000 0.451
Zn3 Zn 0.000 0.500 0.308
Zn4 Zn 0.000 0.500 0.404
```

***

No. 11
Pm4Zn: relaxed, GGA-PBE.

The relative energy among the computed polymorphs is 2.07 kcal/mol of atoms. Its crystal system is orthorhombic.

Geometry as CIF:
```
data_Pm4Zn
_symmetry_space_group_name_H-M 'F d d 2'
_symmetry_Int_Tables_number 43
_symmetry_space_group_name_Hall 'F 2 -2d'
_cell_length_a 12.308
_cell_length_b 15.201
_cell_length_c 6.514
_cell_angle_alpha 90.00
_cell_angle_beta 90.00
_cell_angle_gamma 90.00
loop_
_atom_site_label
_atom_site_type_symbol
_atom_site_fract_x
_atom_site_fract_y
_atom_site_fract_z
Pm1 Pm 0.070 0.111 0.000
Pm2 Pm 0.072 0.194 0.527
Zn1 Zn 0.000 0.000 0.601
```

***

No. 12
PmZrZn: relaxed, GGA-PBE.

The relative energy among the computed polymorphs is 4.05 kcal/mol of atoms. Its crystal system is trigonal.

Geometry as CIF:
```
data_PmZrZn
_symmetry_space_group_name_H-M 'R 3'
_symmetry_Int_Tables_number 146
_symmetry_space_group_name_Hall 'R 3'
_cell_length_a 7.5610
_cell_length_b 7.5610
_cell_length_c 13.4512
_cell_angle_alpha 90.00
_cell_angle_beta 90.00
_cell_angle_gamma 120.00
loop_
_atom_site_label
_atom_site_type_symbol
_atom_site_fract_x
_atom_site_fract_y
_atom_site_fract_z
Pm1 Pm 0.0547 0.3444 0.0000
Zr1 Zr 0.0805 0.6789 0.4959
Zn1 Zn 0.0000 0.0000 0.1603
Zn2 Zn 0.0000 0.0000 0.4874
Zn3 Zn 0.0000 0.0000 0.6695
```

***

No. 13
Pm2ZrZn4: relaxed, GGA-PBE.

Its crystal system is tetragonal.

Geometry as CIF:
```
data_Pm2ZrZn4
_symmetry_space_group_name_H-M 'I 4/m m m'
_symmetry_Int_Tables_number 139
_symmetry_space_group_name_Hall '-I 4 2'
_cell_length_a 5.072
_cell_length_b 5.072
_cell_length_c 12.602
_cell_angle_alpha 90.00
_cell_angle_beta 90.00
_cell_angle_gamma 90.00
loop_
_atom_site_label
_atom_site_type_symbol
_atom_site_fract_x
_atom_site_fract_y
_atom_site_fract_z
Pm1 Pm 0.000 0.000 0.224
Zr1 Zr 0.000 0.000 0.500
Zn1 Zn 0.000 0.500 0.101
```

***

No. 14
PmZrZn2: relaxed, GGA-PBE.

The relative energy among the computed polymorphs is 0.00 kcal/mol of atoms. Its crystal system is tetragonal.

Geometry as CIF:
```
data_PmZrZn2
_symmetry_space_group_name_H-M 'P 4/m m m'
_symmetry_Int_Tables_number 123
_symmetry_space_group_name_Hall '-P 4 2'
_cell_length_a 3.489
_cell_length_b 3.489
_cell_length_c 7.001
_cell_angle_alpha 90.00
_cell_angle_beta 90.00
_cell_angle_gamma 90.00
loop_
_atom_site_label
_atom_site_type_symbol
_atom_site_fract_x
_atom_site_fract_y
_atom_site_fract_z
Pm1 Pm 0.000 0.000 0.000
Zr1 Zr 0.000 0.000 0.500
Zn1 Zn 0.500 0.500 0.284
```

***

No. 15
Pm2ZrZn: relaxed, GGA-PBE.

The relative energy among the computed polymorphs is 8.25 kcal/mol of atoms. Its crystal system is trigonal.

Geometry as CIF:
```
data_Pm2ZrZn
_symmetry_space_group_name_H-M 'R -3 m'
_symmetry_Int_Tables_number 166
_symmetry_space_group_name_Hall '-R 3 2"'
_cell_length_a 3.3019
_cell_length_b 3.3019
_cell_length_c 34.4690
_cell_angle_alpha 90.00
_cell_angle_beta 90.00
_cell_angle_gamma 120.00
loop_
_atom_site_label
_atom_site_type_symbol
_atom_site_fract_x
_atom_site_fract_y
_atom_site_fract_z
Pm1 Pm 0.0000 0.0000 0.0950
Zr1 Zr 0.0000 0.0000 0.0000
Zn1 Zn 0.0000 0.0000 0.5000
```

***

No. 16
PmZrZn17: relaxed, GGA-PBE.

Its crystal system is trigonal.

Geometry as CIF:
```
data_PmZrZn17
_symmetry_space_group_name_H-M 'R 3 m'
_symmetry_Int_Tables_number 160
_symmetry_space_group_name_Hall 'R 3 -2"'
_cell_length_a 8.9277
_cell_length_b 8.9277
_cell_length_c 13.0913
_cell_angle_alpha 90.00
_cell_angle_beta 90.00
_cell_angle_gamma 120.00
loop_
_atom_site_label
_atom_site_type_symbol
_atom_site_fract_x
_atom_site_fract_y
_atom_site_fract_z
Pm1 Pm 0.0000 0.0000 0.0000
Zr1 Zr 0.0000 0.0000 0.6664
Zn1 Zn 0.0000 0.0000 0.2407
Zn2 Zn 0.0000 0.0000 0.4403
Zn3 Zn 0.0018 0.5009 0.1853
Zn4 Zn 0.0035 0.3001 0.3350
Zn5 Zn 0.0090 0.5045 0.8331
Zn6 Zn 0.0233 0.5116 0.4870
```

***

No. 17
PmZr3Zn8: relaxed, GGA-PBE.

Its crystal system is trigonal.

Geometry as CIF:
```
data_PmZr3Zn8
_symmetry_space_group_name_H-M 'P 3 m 1'
_symmetry_Int_Tables_number 156
_symmetry_space_group_name_Hall 'P 3 -2"'
_cell_length_a 5.3564
_cell_length_b 5.3564
_cell_length_c 8.5695
_cell_angle_alpha 90.00
_cell_angle_beta 90.00
_cell_angle_gamma 120.00
loop_
_atom_site_label
_atom_site_type_symbol
_atom_site_fract_x
_atom_site_fract_y
_atom_site_fract_z
Pm1 Pm 0.0000 0.0000 0.0000
Zr1 Zr 0.0000 0.0000 0.3766
Zr2 Zr 0.6667 0.3333 0.4969
Zr3 Zr 0.6667 0.3333 0.8535
Zn1 Zn 0.1630 0.3260 0.6765
Zn2 Zn 0.3333 0.6667 0.4319
Zn3 Zn 0.3333 0.6667 0.9298
Zn4 Zn 0.5059 0.0119 0.1897
```

***

No. 18
PmZrZn2: relaxed, GGA-PBE.

The relative energy among the computed polymorphs is 1.47 kcal/mol of atoms. Its crystal system is cubic.

Geometry as CIF:
```
data_PmZrZn2
_symmetry_space_group_name_H-M 'F m -3 m'
_symmetry_Int_Tables_number 225
_symmetry_space_group_name_Hall '-F 4 2 3'
_cell_length_a 6.994
_cell_length_b 6.994
_cell_length_c 6.994
_cell_angle_alpha 90.00
_cell_angle_beta 90.00
_cell_angle_gamma 90.00
loop_
_atom_site_label
_atom_site_type_symbol
_atom_site_fract_x
_atom_site_fract_y
_atom_site_fract_z
Pm1 Pm 0.000 0.000 0.000
Zr1 Zr 0.000 0.000 0.500
Zn1 Zn 0.250 0.250 0.250
```

***

No. 19
PmZrZn: relaxed, GGA-PBE.

The relative energy among the computed polymorphs is 3.71 kcal/mol of atoms. Its crystal system is trigonal.

Geometry as CIF:
```
data_PmZrZn
_symmetry_space_group_name_H-M 'P 3 m 1'
_symmetry_Int_Tables_number 156
_symmetry_space_group_name_Hall 'P 3 -2"'
_cell_length_a 4.9096
_cell_length_b 4.9096
_cell_length_c 3.5045
_cell_angle_alpha 90.00
_cell_angle_beta 90.00
_cell_angle_gamma 120.00
loop_
_atom_site_label
_atom_site_type_symbol
_atom_site_fract_x
_atom_site_fract_y
_atom_site_fract_z
Pm1 Pm 0.0000 0.0000 0.0000
Zr1 Zr 0.3333 0.6667 0.4980
Zn1 Zn 0.6667 0.3333 0.5051
```

***

No. 20
Pm2ZrZn: relaxed, GGA-PBE.

The relative energy among the computed polymorphs is 0.00 kcal/mol of atoms. Its crystal system is tetragonal.

Geometry as CIF:
```
data_Pm2ZrZn
_symmetry_space_group_name_H-M 'P 4/m m m'
_symmetry_Int_Tables_number 123
_symmetry_space_group_name_Hall '-P 4 2'
_cell_length_a 3.473
_cell_length_b 3.473
_cell_length_c 8.740
_cell_angle_alpha 90.00
_cell_angle_beta 90.00
_cell_angle_gamma 90.00
loop_
_atom_site_label
_atom_site_type_symbol
_atom_site_fract_x
_atom_site_fract_y
_atom_site_fract_z
Pm1 Pm 0.000 0.000 0.229
Zr1 Zr 0.500 0.500 0.500
Zn1 Zn 0.500 0.500 0.000
```

***

| no. | total magnetic moment (μB/f.u.) | total DFT energy (no corrections) (eV per atom) |
| --- | --- | --- |
| 1 | 0.00 | -2.49 |
| 2 | 0.00 | -1.73 |
| 3 | 0.00 | -2.32 |
| 4 | 0.00 | -3.41 |
| 5 | 0.00 | -3.29 |
| 6 | 0.00 | -3.92 |
| 7 | 0.00 | -3.82 |
| 8 | 0.00 | -1.89 |
| 9 | 0.00 | -3.92 |
| 10 | 0.00 | -2.55 |
| 11 | 0.00 | -4.08 |
| 12 | 0.00 | -4.79 |
| 13 | 0.00 | -3.43 |
| 14 | 0.00 | -4.22 |
| 15 | 0.00 | -4.54 |
| 16 | 0.00 | -2.03 |
| 17 | 2.46 | -3.63 |
| 18 | 0.00 | -4.16 |
| 19 | 0.00 | -4.81 |
| 20 | 0.00 | -4.89 |